# FeSi5

A geometry-optimized FeSi5 structure (PBEsol, Alexandria via LeMat-Bulk).

Cell: 4.6357 4.6357 7.3382 Å, 113.14 113.14 33.07°
With the nearest neighbours (Å) after each atom.
Sites, in units of the cell vectors:
Fe1 0.0000 0.0000 0.0000  9 Si 2.37-2.56, 2 Fe 2.64
Si1 0.0684 0.0684 0.5690  9 Si 2.47-2.70
Si2 0.3734 0.3734 0.7054  2 Fe 2.38, 4 Si 2.47-2.67
Si3 0.4437 0.4437 0.2334  7 Si 2.36-2.64, 2 Fe 2.37
Si4 0.6991 0.6991 0.9201  3 Fe 2.46-2.49, 6 Si 2.57-2.70
Si5 0.7230 0.7230 0.2808  6 Si 2.36-2.64, 2 Fe 2.56

Output
- SG = Cm (8)
- V (A^3/atom) = 13.081
- spin magnetization (μB/atom) = 0.000
- crystal system = monoclinic
- ΔE_f (raw) (eV/atom) = 0.084
- VASP energy (eV per atom) = -6.20